Entry from Alexandria via LeMat-Bulk: Pm4NdDy2Th after structural relaxation (GGA-PBE).

The space group is Pmmm (No. 47) and the conventional cell measures 5.1133, 5.1133 and 10.2636 Å, with angles of 90.00, 90.00 and 90.00 degrees. Symmetry generates all atoms from Pm at (0.0000, 0.0000, 0.2452), Pm at (0.5000, 0.5000, 0.2462), Nd at (0.0000, 0.5000, 0.5000), Dy at (0.0000, 0.5000, 0.0000), Dy at (0.5000, 0.0000, 0.5000) and Th at (0.5000, 0.0000, 0.0000).

Its crystal system is orthorhombic.



Entry from Alexandria via LeMat-Bulk: PmNdDy3Th after structural relaxation (GGA-PBE).

The space group is C2/m (No. 12) and the conventional cell measures 19.9345, 5.6364 and 7.0482 Å, with angles of 90.00, 90.51 and 90.00 degrees. Symmetry generates all atoms from Pm at (0.1483, 0.0000, 0.0354), Nd at (0.1461, 0.0000, 0.4588), Dy at (0.0229, 0.0000, 0.7516), Dy at (0.1576, 0.5000, 0.7528), Dy at (0.2212, 0.5000, 0.2531) and Th at (0.0549, 0.5000, 0.2364).

Its crystal system is monoclinic.



Entry from Alexandria via LeMat-Bulk: Pm6NdDy2Th after structural relaxation (GGA-PBE).

The space group is C2/c (No. 15) and the conventional cell measures 9.3476, 15.0304 and 9.7984 Å, with angles of 90.00, 98.12 and 90.00 degrees. Symmetry generates all atoms from Pm at (0.0672, 0.1755, 0.4420), Pm at (0.0949, 0.3930, 0.6197), Pm at (0.2029, 0.2201, 0.8156), Nd at (0.0000, 0.4047, 0.2500), Dy at (0.2421, 0.0454, 0.0501) and Th at (0.0000, 0.0292, 0.7500).

Its crystal system is monoclinic.



Entry from Alexandria via LeMat-Bulk: Pm2NdDyTh after structural relaxation (GGA-PBE).

The space group is P2/c (No. 13) and the conventional cell measures 6.4167, 8.4714 and 6.5936 Å, with angles of 90.00, 103.40 and 90.00 degrees. Symmetry generates all atoms from Pm at (0.2191, 0.1712, 0.1632), Nd at (0.0000, 0.4036, 0.7500), Dy at (0.5000, 0.1614, 0.7500) and Th at (0.5000, 0.5000, 0.0000).

Its crystal system is monoclinic.



Entry from Alexandria via LeMat-Bulk: PmNdDyTh2 after structural relaxation (GGA-PBE).

The space group is Cmcm (No. 63) and the conventional cell measures 6.7167, 15.7609 and 6.7221 Å, with angles of 90.00, 90.00 and 90.00 degrees. Symmetry generates all atoms from Pm at (0.0000, 0.1514, 0.2500), Nd at (0.0000, 0.2567, 0.7500), Dy at (0.0000, 0.3489, 0.2500) and Th at (0.2479, 0.5000, 0.0000).

Its crystal system is orthorhombic.



Entry from Alexandria via LeMat-Bulk: PmNd3Dy6Th2 after structural relaxation (GGA-PBE).

The space group is C2/m (No. 12) and the conventional cell measures 6.2425, 10.8064 and 11.7993 Å, with angles of 90.00, 100.17 and 90.00 degrees. Symmetry generates all atoms from Pm at (0.0000, 0.0000, 0.0000), Nd at (0.0000, 0.1663, 0.5000), Nd at (0.0000, 0.5000, 0.5000), Dy at (0.2439, 0.5000, 0.2455), Dy at (0.2488, 0.3309, 0.7548) and Th at (0.0000, 0.3334, 0.0000).

Its crystal system is monoclinic.



Entry from Alexandria via LeMat-Bulk: Pm2Nd5DyTh after structural relaxation (GGA-PBE).

The space group is Cmc2_1 (No. 36) and the conventional cell measures 5.7163, 20.7400 and 10.6436 Å, with angles of 90.00, 90.00 and 90.00 degrees. Symmetry generates all atoms from Pm at (0.0000, 0.1143, 0.0000), Pm at (0.0000, 0.1151, 0.5764), Nd at (0.0000, 0.0140, 0.2824), Nd at (0.0000, 0.2752, 0.5798), Nd at (0.0000, 0.2931, 0.9698), Nd at (0.0000, 0.3837, 0.2893), Nd at (0.0000, 0.4832, 0.0103), Dy at (0.0000, 0.4044, 0.7259) and Th at (0.0000, 0.1984, 0.2770).

Its crystal system is orthorhombic.



Entry from Alexandria via LeMat-Bulk: PmNd4Dy2Th after structural relaxation (GGA-PBE).

The space group is C2/m (No. 12) and the conventional cell measures 11.4939, 5.1463 and 10.2577 Å, with angles of 90.00, 116.64 and 90.00 degrees. Symmetry generates all atoms from Pm at (0.0000, 0.0000, 0.0000), Nd at (0.2478, 0.5000, 0.6217), Nd at (0.2489, 0.0000, 0.8717), Dy at (0.0017, 0.5000, 0.7458) and Th at (0.0000, 0.0000, 0.5000).

Its crystal system is monoclinic.



Number 1: electronic total energy -40.18 eV/cell. Number 2: electronic total energy -117.85 eV/cell. Number 3: electronic total energy -193.82 eV/cell. Number 4: electronic total energy -50.06 eV/cell. Number 5: electronic total energy -108.37 eV/cell. Number 6: electronic total energy -122.47 eV/cell. Number 7: electronic total energy -176.12 eV/cell. Number 8: electronic total energy -80.25 eV/cell.